## Ho4CrSe7 (GGA-PBE)

Data for Ho4CrSe7 after structural relaxation.

Geometry as POSCAR:
```
Ho4CrSe7
1.0
-4.529 -0.628 -5.021
-3.040 -4.232 -4.355
-10.229 -3.245 5.307
Ho Cr Se
4 1 7
Direct
0.685 0.685 0.223
0.298 0.298 0.810
0.990 0.990 0.005
0.121 0.121 0.564
0.890 0.890 0.424
0.753 0.753 0.636
0.279 0.279 0.355
0.327 0.327 0.056
0.652 0.652 0.948
0.028 0.028 0.226
0.961 0.961 0.782
0.515 0.515 0.470
```

Results
Space-group type ... Cm (8)
Total energy ... -0.43548 Ry/atom
E_form (uncorrected) ... -1.564 eV/atom